Below is an optimized crystal structure of CaCoHg2, with properties calculated at the GGA-PBE level.

Cell and atoms, written as POSCAR:
```
CaCoHg2
1.0
-0.072 3.318 3.093
-3.903 2.093 0.982
-2.265 -1.692 5.094
Ca Co Hg
1 1 2
Direct
0.508 0.508 0.477
0.317 0.317 0.049
0.955 0.955 0.134
0.720 0.720 0.840
```

Output
The total energy is -0.0876 Ha/atom. Its density of states at the Fermi level is 5.82 states/eV/cell. The volume is 23.20 A^3/atom.



Below is an optimized crystal structure of Ce3Ge, with properties calculated at the GGA-PBE level.

Cell and atoms, written as POSCAR:
```
Ce3Ge
1.0
5.163 0.000 0.000
2.581 4.471 0.000
2.581 1.490 4.216
Ge Ce
1 3
Direct
0.500 0.500 0.500
0.000 0.000 0.000
0.750 0.750 0.750
0.250 0.250 0.250
```

Output
The total energy is -0.2132 Ha/atom. Its density of states at the Fermi level is 11.96 states/eV/cell. The volume is 24.33 A^3/atom.



Below is an optimized crystal structure of BaZr3Pb, with properties calculated at the GGA-PBE level.

Cell and atoms, written as POSCAR:
```
BaZr3Pb
1.0
5.590 0.000 0.000
0.000 5.590 0.000
0.000 0.000 5.590
Pb Ba Zr
1 1 3
Direct
0.000 0.000 0.000
0.500 0.500 0.500
0.000 0.500 0.000
0.000 0.000 0.500
0.500 0.000 0.000
```

Output
The total energy is -0.1964 Ha/atom. Its density of states at the Fermi level is 15.51 states/eV/cell. The volume is 34.94 A^3/atom.



Below is an optimized crystal structure of LiTbZnCl6, with properties calculated at the GGA-PBE level.

Cell and atoms, written as POSCAR:
```
LiTbZnCl6
1.0
6.524 0.000 0.000
-3.262 5.650 0.000
0.000 0.000 11.880
Li Tb Zn Cl
2 2 2 12
Direct
0.000 0.000 0.000
0.000 0.000 0.500
0.333 0.667 0.250
0.667 0.333 0.750
0.667 0.333 0.250
0.333 0.667 0.750
0.666 0.647 0.128
0.980 0.334 0.128
0.334 0.980 0.628
0.020 0.666 0.872
0.353 0.334 0.372
0.980 0.647 0.372
0.647 0.980 0.872
0.666 0.020 0.372
0.020 0.353 0.628
0.353 0.020 0.128
0.647 0.666 0.628
0.334 0.353 0.872
```

Output
The total energy is -0.1409 Ha/atom. Its density of states at the Fermi level is 0.00 states/eV/cell. For the uncorrected formation energy, the calculation gives -15.617 eV per formula unit. The volume is 24.33 A^3/atom.